# 1
The following is a PBE calculation of a relaxed Cu5Pd5Au2 crystal, from Alexandria via LeMat-Bulk.

Values from the calculation:
Energy above the most stable polymorph in this dataset: 0.000 eV/atom
Energy relative to the elements: -0.09 eV/atom
Crystal system: monoclinic

Unit cell a=11.893 b=3.707 c=8.835 alpha=90.00 beta=116.26 gamma=90.00
Space group C2/m (No. 12)
Inequivalent atoms, fractional coordinates:
Cu  0.000  0.000  0.000
Cu  0.086  0.000  0.749
Cu  0.168  0.000  0.501
Pd  0.000  0.500  0.500
Pd  0.163  0.500  0.997
Pd  0.244  0.500  0.742
Au  0.082  0.500  0.254

---

# 2
The following is a PBE calculation of a relaxed Cu3PdAu6 crystal, from Alexandria via LeMat-Bulk.

Values from the calculation:
Energy above the most stable polymorph in this dataset: 0.020 eV/atom
Energy relative to the elements: 0.06 eV/atom
Crystal system: monoclinic

Unit cell a=7.167 b=6.501 c=10.184 alpha=90.00 beta=134.42 gamma=90.00
Space group P2_1/c (No. 14)
Inequivalent atoms, fractional coordinates:
Cu  0.000  0.000  0.000
Cu  0.184  0.210  0.745
Pd  0.500  0.000  0.500
Au  0.086  0.140  0.439
Au  0.284  0.618  0.443
Au  0.455  0.650  0.249

---

Q: What is the formula in the first record?
A: Cu5Pd5Au2

---

Q: Number 1 is which compound?
A: Cu5Pd5Au2

---

Q: energy relative to the elements of number 2 (Cu3PdAu6)?
A: 0.06 eV/atom

---

Q: Among the records above, which one has the lowest energy relative to the elements?
A: Cu5Pd5Au2